DFT (PBE) results for a geometry-optimized Hf2HgAu3 structure.

Properties
**Raw total energy**: -5.333 eV/atom
**ΔH_f (0 K)**: -331 meV per atom
**Symmetry**: P4mm

The structure in POSCAR format:
```
Hf2HgAu3
1.0
-2.3260 -1.9570 -1.8587
0.6554 -2.7898 2.1172
-6.6377 2.6372 5.5296
Au Hf Hg
3 2 1
direct
0.5000 0.5000 0.1713 Au
0.0000 0.0000 0.3340 Au
0.0000 0.0000 0.6611 Au
0.0000 0.0000 0.0118 Hf
0.5000 0.5000 0.4920 Hf
0.5000 0.5000 0.8298 Hg
```

---

DFT (PBE) results for a geometry-optimized HfHgAu2 structure.

Properties
**Raw total energy**: -4.406 eV/atom
**ΔH_f (0 K)**: -209 meV per atom
**Symmetry**: F-43m

The structure in POSCAR format:
```
HfHgAu2
1.0
3.3280 -3.2950 -0.8176
0.6830 -3.5155 3.1266
-1.2761 -4.4445 -1.1042
Au Hf Hg
2 1 1
direct
0.0000 0.0000 0.0000 Au
0.2500 0.2500 0.2500 Au
0.5000 0.5000 0.5000 Hf
0.7500 0.7500 0.7500 Hg
```

---

DFT (PBE) results for a geometry-optimized Hf2HgAu structure.

Properties
**Raw total energy**: -5.732 eV/atom
**ΔH_f (0 K)**: 137 meV per atom
**Symmetry**: F-43m

The structure in POSCAR format:
```
Hf2HgAu
1.0
3.3298 -2.3562 2.6613
-0.8275 -0.8724 4.7197
-0.8692 -4.5447 1.5206
Au Hf Hg
1 2 1
direct
0.2500 0.2500 0.2500 Au
0.0000 0.0000 0.0000 Hf
0.7500 0.7500 0.7500 Hf
0.5000 0.5000 0.5000 Hg
```